No. 1
Material: LiCa2PH
Method: DFT, SCAN
State: PBEsol geometry

Lattice parameters (Å, degrees): 4.615 4.615 3.958 90.00 90.00 90.00
Space group P4/mmm (No. 123)
Asymmetric unit:
Li 0.000 0.000 0.000 (multiplicity 1)
Ca 0.000 0.500 0.500 (multiplicity 2)
P 0.500 0.500 0.000 (multiplicity 1)
H 0.000 0.000 0.500 (multiplicity 1)

Properties
E = -38.9 eV per cell
DOS at the Fermi energy = 1.77 states/eV/f.u.

=====

No. 2
Material: Ca2TeAu
Method: DFT, SCAN
State: PBEsol geometry

Lattice parameters (Å, degrees): 4.355 4.352 6.123 90.00 91.53 90.00
Space group P2/m (No. 10)
Asymmetric unit:
Ca 0.000 0.000 0.000 (multiplicity 1)
Ca 0.500 0.500 0.500 (multiplicity 1)
Te 0.000 0.000 0.500 (multiplicity 1)
Au 0.500 0.500 0.000 (multiplicity 1)

Properties
E = -130.5 eV per cell
DOS at the Fermi energy = 2.00 states/eV/f.u.

=====

No. 3
Material: Cd2PbBr
Method: DFT, SCAN
State: PBEsol geometry

Lattice parameters (Å, degrees): 3.423 3.423 8.465 90.00 90.00 90.00
Space group P4mm (No. 99)
Asymmetric unit:
Cd 0.000 0.000 0.000 (multiplicity 1)
Cd 0.500 0.500 0.216 (multiplicity 1)
Pb 0.000 0.000 0.481 (multiplicity 1)
Br 0.500 0.500 0.763 (multiplicity 1)

Properties
ΔE to the lowest computed polymorph = 0.016 eV/atom
E = -156.5 eV per cell
DOS at the Fermi energy = 1.42 states/eV/f.u.

=====

No. 4
Material: Co2GeH
Method: DFT, SCAN
State: PBEsol geometry

Lattice parameters (Å, degrees): 5.354 5.354 5.354 90.00 90.00 90.00
Space group Fm-3m (No. 225)
Asymmetric unit:
Co 0.250 0.250 0.250 (multiplicity 8)
Ge 0.000 0.000 0.000 (multiplicity 4)
H 0.000 0.000 0.500 (multiplicity 4)

Properties
E = -221.9 eV per cell
DOS at the Fermi energy = 1.60 states/eV/f.u.

=====

No. 5
Material: VZn2SbO6
Method: DFT, SCAN
State: PBEsol geometry

Lattice parameters (Å, degrees): 5.200 7.626 5.235 90.00 90.90 90.00
Space group P2_1/m (No. 11)
Asymmetric unit:
V 0.000 0.000 0.000 (multiplicity 2)
Zn 0.013 0.250 0.553 (multiplicity 2)
Zn 0.475 0.750 0.981 (multiplicity 2)
Sb 0.500 0.000 0.500 (multiplicity 2)
O 0.106 0.750 0.073 (multiplicity 2)
O 0.171 0.066 0.323 (multiplicity 4)
O 0.328 0.068 0.823 (multiplicity 4)
O 0.369 0.750 0.582 (multiplicity 2)

Properties
E = -274.3 eV per cell
DOS at the Fermi energy = 0.84 states/eV/f.u.

=====

No. 6
Material: CsTe3F
Method: DFT, SCAN
State: PBEsol geometry

Lattice parameters (Å, degrees): 5.189 5.189 5.189 90.00 90.00 90.00
Space group Pm-3m (No. 221)
Asymmetric unit:
Cs 0.000 0.000 0.000 (multiplicity 1)
Te 0.000 0.500 0.500 (multiplicity 3)
F 0.500 0.500 0.500 (multiplicity 1)

Properties
E = -155.1 eV per cell
DOS at the Fermi energy = 1.83 states/eV/f.u.

=====

No. 7
Material: CoRu2Cl
Method: DFT, SCAN
State: PBEsol geometry

Lattice parameters (Å, degrees): 6.030 6.047 2.768 90.00 90.00 90.00
Space group Cmmm (No. 65)
Asymmetric unit:
Co 0.000 0.000 0.000 (multiplicity 2)
Ru 0.250 0.250 0.500 (multiplicity 4)
Cl 0.000 0.500 0.000 (multiplicity 2)

Properties
ΔE to the lowest computed polymorph = 0.532 eV/atom
E = -182.6 eV per cell
DOS at the Fermi energy = 3.93 states/eV/f.u.

=====

No. 8
Material: CdAg2HgAs
Method: DFT, SCAN
State: PBEsol geometry

Lattice parameters (Å, degrees): 5.034 5.034 5.099 90.00 90.00 90.00
Space group P4/mmm (No. 123)
Asymmetric unit:
Cd 0.000 0.000 0.000 (multiplicity 1)
Ag 0.000 0.500 0.000 (multiplicity 2)
Hg 0.000 0.000 0.500 (multiplicity 1)
As 0.500 0.500 0.500 (multiplicity 1)

Properties
E = -177.2 eV per cell
DOS at the Fermi energy = 2.37 states/eV/f.u.

=====

No. 9
Material: BeFe2As
Method: DFT, SCAN
State: PBEsol geometry

Lattice parameters (Å, degrees): 5.417 5.417 5.417 90.00 90.00 90.00
Space group Fm-3m (No. 225)
Asymmetric unit:
Be 0.000 0.000 0.000 (multiplicity 4)
Fe 0.250 0.250 0.250 (multiplicity 8)
As 0.000 0.000 0.500 (multiplicity 4)

Properties
ΔE to the lowest computed polymorph = 0.000 eV/atom
E = -244.5 eV per cell
DOS at the Fermi energy = 3.07 states/eV/f.u.

=====

No. 10
Material: AlTlI2N
Method: DFT, SCAN
State: PBEsol geometry

Lattice parameters (Å, degrees): 5.999 5.999 3.545 90.00 90.00 90.00
Space group P4/mmm (No. 123)
Asymmetric unit:
Al 0.000 0.000 0.000 (multiplicity 1)
Tl 0.500 0.500 0.500 (multiplicity 1)
I 0.000 0.500 0.000 (multiplicity 2)
N 0.000 0.000 0.500 (multiplicity 1)

Properties
E = -163.6 eV per cell
DOS at the Fermi energy = 3.77 states/eV/f.u.

=====

No. 11
Material: V2Cd5P8O28
Method: DFT, SCAN
State: PBEsol geometry

Lattice parameters (Å, degrees): 8.787 9.961 24.084 90.00 90.00 90.00
Space group C222_1 (No. 20)
Asymmetric unit:
V 0.082 0.157 0.377 (multiplicity 8)
Cd 0.000 0.205 0.750 (multiplicity 4)
Cd 0.081 0.500 0.500 (multiplicity 4)
Cd 0.190 0.000 0.500 (multiplicity 4)
Cd 0.194 0.350 0.634 (multiplicity 8)
P 0.102 0.203 0.008 (multiplicity 8)
P 0.110 0.134 0.885 (multiplicity 8)
P 0.118 0.454 0.126 (multiplicity 8)
P 0.249 0.047 0.268 (multiplicity 8)
O 0.006 0.208 0.650 (multiplicity 8)
O 0.020 0.485 0.596 (multiplicity 8)
O 0.041 0.159 0.458 (multiplicity 8)
O 0.052 0.141 0.949 (multiplicity 8)
O 0.101 0.019 0.126 (multiplicity 8)
O 0.103 0.299 0.129 (multiplicity 8)
O 0.113 0.355 0.003 (multiplicity 8)
O 0.116 0.488 0.813 (multiplicity 8)
O 0.123 0.120 0.302 (multiplicity 8)
O 0.175 0.358 0.727 (multiplicity 8)
O 0.198 0.079 0.759 (multiplicity 8)
O 0.229 0.000 0.400 (multiplicity 8)
O 0.231 0.306 0.384 (multiplicity 8)
O 0.248 0.143 0.030 (multiplicity 8)

Properties
E = -2176.0 eV per cell

=====

No. 12
Material: Cd2CoTc
Method: DFT, SCAN
State: PBEsol geometry

Lattice parameters (Å, degrees): 2.7865 2.7865 27.9918 90.00 90.00 120.00
Space group R3m (No. 160, hexagonal axes)
Asymmetric unit:
Cd 0.0000 0.0000 0.0000 (multiplicity 3)
Cd 0.0000 0.0000 0.2344 (multiplicity 3)
Co 0.0000 0.0000 0.7470 (multiplicity 3)
Tc 0.0000 0.0000 0.4797 (multiplicity 3)

Properties
ΔE to the lowest computed polymorph = 0.000 eV/atom
E = -335.8 eV per cell
DOS at the Fermi energy = 2.42 states/eV/f.u.

=====

No. 13
Material: CaGa2Ni
Method: DFT, SCAN
State: PBEsol geometry

Lattice parameters (Å, degrees): 3.998 10.135 6.888 90.00 90.00 90.00
Space group Cmcm (No. 63)
Asymmetric unit:
Ca 0.000 0.057 0.250 (multiplicity 4)
Ga 0.000 0.339 0.056 (multiplicity 8)
Ni 0.000 0.218 0.750 (multiplicity 4)

Properties
E = -243.2 eV per cell
DOS at the Fermi energy = 1.81 states/eV/f.u.

=====

No. 14
Material: HgOs2Cl
Method: DFT, SCAN
State: PBEsol geometry

Lattice parameters (Å, degrees): 5.691 8.259 2.736 90.00 90.00 90.00
Space group Cmmm (No. 65)
Asymmetric unit:
Hg 0.000 0.000 0.000 (multiplicity 2)
Os 0.250 0.250 0.500 (multiplicity 4)
Cl 0.000 0.500 0.000 (multiplicity 2)

Properties
ΔE to the lowest computed polymorph = 1.023 eV/atom
E = -425.8 eV per cell
DOS at the Fermi energy = 4.68 states/eV/f.u.

=====

No. 15
Material: ZnRe2Pt
Method: DFT, SCAN
State: PBEsol geometry

Lattice parameters (Å, degrees): 2.653 4.165 5.207 90.00 94.42 90.00
Space group P2/m (No. 10)
Asymmetric unit:
Zn 0.000 0.000 0.000 (multiplicity 1)
Re 0.445 0.500 0.241 (multiplicity 2)
Pt 0.000 0.000 0.500 (multiplicity 1)

Properties
E = -225.4 eV per cell
DOS at the Fermi energy = 2.59 states/eV/f.u.

=====

No. 16
Material: Y2As
Method: DFT, SCAN
State: PBEsol geometry

Lattice parameters (Å, degrees): 10.977 3.906 8.029 90.00 120.04 90.00
Space group C2/m (No. 12)
Asymmetric unit:
Y 0.078 0.000 0.363 (multiplicity 4)
Y 0.162 0.500 0.063 (multiplicity 4)
As 0.157 0.500 0.678 (multiplicity 4)

Properties
E = -315.5 eV per cell
DOS at the Fermi energy = 2.79 states/eV/f.u.

=====

No. 17
Material: Co2S3
Method: DFT, SCAN
State: PBEsol geometry

Lattice parameters (Å, degrees): 6.487 6.487 27.348 90.00 90.00 90.00
Space group I4_1/amd (No. 141, origin choice 2)
Asymmetric unit:
Co 0.000 0.000 0.000 (multiplicity 8)
Co 0.000 0.003 0.667 (multiplicity 16)
Co 0.000 0.250 0.208 (multiplicity 8)
S 0.000 0.014 0.748 (multiplicity 16)
S 0.000 0.016 0.415 (multiplicity 16)
S 0.000 0.021 0.080 (multiplicity 16)

Properties
E = -1053.5 eV per cell
DOS at the Fermi energy = 1.67 states/eV/f.u.

=====

No. 18
Material: La2BiAu2
Method: DFT, SCAN
State: PBEsol geometry

Lattice parameters (Å, degrees): 7.986 7.986 4.142 90.00 90.00 90.00
Space group P4/mbm (No. 127)
Asymmetric unit:
La 0.174 0.326 0.000 (multiplicity 4)
Bi 0.000 0.000 0.500 (multiplicity 2)
Au 0.124 0.624 0.500 (multiplicity 4)

Properties
E = -617.0 eV per cell
DOS at the Fermi energy = 2.47 states/eV/f.u.

=====

No. 19
Material: AsIrBr2
Method: DFT, SCAN
State: PBEsol geometry

Lattice parameters (Å, degrees): 3.7248 3.7248 7.9542 90.00 90.00 120.00
Space group P3m1 (No. 156)
Asymmetric unit:
As 0.0000 0.0000 0.0000 (multiplicity 1)
Ir 0.3333 0.6667 0.8692 (multiplicity 1)
Br 0.0000 0.0000 0.2933 (multiplicity 1)
Br 0.6667 0.3333 0.6742 (multiplicity 1)

Properties
ΔE to the lowest computed polymorph = 0.000 eV/atom
E = -131.8 eV per cell
DOS at the Fermi energy = 0.00 states/eV/f.u.

=====

No. 20
Material: MnZn2Co
Method: DFT, SCAN
State: PBEsol geometry

Lattice parameters (Å, degrees): 3.640 3.640 7.359 90.00 90.00 90.00
Space group I4/mmm (No. 139)
Asymmetric unit:
Mn 0.000 0.000 0.000 (multiplicity 2)
Zn 0.000 0.500 0.250 (multiplicity 4)
Co 0.000 0.000 0.500 (multiplicity 2)

Properties
ΔE to the lowest computed polymorph = 0.000 eV/atom
E = -126.7 eV per cell
DOS at the Fermi energy = 1.13 states/eV/f.u.